# Sc2Al2GaNi5

A relaxed Sc2Al2GaNi5 crystal (PBE, the Alexandria database).

Calculated values
**Fermi-level density of states**: 13.7 states/eV/cell
**ΔE_f**: -427 meV per atom

Unit cell a=9.480 b=9.480 c=3.176 alpha=90.00 beta=90.00 gamma=90.00
Space group P4/mbm (No. 127)
Inequivalent atoms, fractional coordinates:
Sc: 0.173 0.327 0.000 [4 per cell]
Al: 0.127 0.627 0.000 [4 per cell]
Ga: 0.000 0.000 0.000 [2 per cell]
Ni: 0.000 0.500 0.500 [2 per cell]
Ni: 0.049 0.801 0.500 [8 per cell]